[1]
The following is a PBE calculation of crystalline Ca2AlPt2 at its relaxed geometry, from Alexandria.

Energy of formation (meV per atom): -1024
Density (Mg/m³): 7.62

The structure in POSCAR format:
```
Ca2AlPt2
1.0
4.952 -2.878 0.000
4.952 2.878 0.000
-1.613 0.000 7.608
Ca Al Pt
4 2 4
Direct
0.018 0.281 0.148
0.281 0.018 0.648
0.719 0.982 0.352
0.982 0.719 0.852
0.390 0.610 0.250
0.610 0.390 0.750
0.237 0.504 0.496
0.496 0.763 0.004
0.504 0.237 0.996
0.763 0.496 0.504
```

---

[2]
The following is a PBE calculation of crystalline Sr2SiSe at its relaxed geometry, from Alexandria.

E_form (uncorrected) (kJ/mol of atoms): -66.37
Density (Mg/m³): 4.10

The structure in POSCAR format:
```
Sr2SiSe
1.0
0.000 3.852 3.852
3.852 0.000 3.852
3.852 3.852 0.000
Sr Si Se
2 1 1
Direct
0.250 0.250 0.250
0.750 0.750 0.750
0.000 0.000 0.000
0.500 0.500 0.500
```

---

[3]
The following is a PBE calculation of crystalline Pm4NdTe6 at its relaxed geometry, from Alexandria.

E_form (uncorrected) (kJ/mol of atoms): -138.48
Density (Mg/m³): 6.80

The structure in POSCAR format:
```
Pm4NdTe6
1.0
2.185 -7.312 0.000
2.185 7.312 0.000
0.000 0.000 22.769
Pm Nd Te
8 2 12
Direct
0.087 0.913 0.626
0.087 0.913 0.874
0.357 0.643 0.536
0.357 0.643 0.964
0.643 0.357 0.036
0.643 0.357 0.464
0.913 0.087 0.126
0.913 0.087 0.374
0.156 0.844 0.250
0.844 0.156 0.750
0.000 0.000 0.000
0.000 0.000 0.500
0.185 0.815 0.750
0.268 0.732 0.094
0.268 0.732 0.406
0.444 0.556 0.666
0.444 0.556 0.834
0.556 0.444 0.166
0.556 0.444 0.334
0.732 0.268 0.594
0.732 0.268 0.906
0.815 0.185 0.250
```

---

[4]
The following is a PBE calculation of crystalline SrZrHg2 at its relaxed geometry, from Alexandria.

Energy of formation (meV per atom): 90
Density (Mg/m³): 7.88

The structure in POSCAR format:
```
SrZrHg2
1.0
-4.069 4.069 3.689
4.069 -4.069 3.689
4.069 4.069 -3.689
Sr Zr Hg
2 2 4
Direct
0.000 0.000 0.000
0.750 0.250 0.500
0.250 0.750 0.500
0.500 0.500 0.000
0.164 0.625 0.039
0.375 0.414 0.539
0.586 0.125 0.961
0.875 0.836 0.461
```

---

[5]
The following is a PBE calculation of crystalline EuTmH at its relaxed geometry, from Alexandria.

E (eV/f.u.): -18.6
Density (Mg/m³): 8.01

The structure in POSCAR format:
```
EuTmH
1.0
3.620 0.000 0.000
-1.810 3.135 0.000
0.000 0.000 5.878
Eu Tm H
1 1 1
Direct
0.000 0.000 0.000
0.333 0.667 0.486
0.667 0.333 0.271
```

---

[6]
The following is a PBE calculation of crystalline ScMn2Te4 at its relaxed geometry, from Alexandria.

E_form (uncorrected) (kJ/mol of atoms): -50.26
Density (Mg/m³): 5.87

The structure in POSCAR format:
```
ScMn2Te4
1.0
4.061 0.000 0.000
0.009 7.104 0.000
2.022 3.340 6.524
Sc Mn Te
1 2 4
Direct
0.000 0.000 0.000
0.258 0.283 0.486
0.742 0.717 0.514
0.121 0.459 0.758
0.364 0.029 0.272
0.636 0.971 0.728
0.879 0.541 0.242
```

---

[7]
The following is a PBE calculation of crystalline BaHg2Bi2 at its relaxed geometry, from Alexandria.

Energy of formation (meV per atom): -321
Density (Mg/m³): 9.10

The structure in POSCAR format:
```
BaHg2Bi2
1.0
-2.556 2.556 6.681
2.556 -2.556 6.681
2.556 2.556 -6.681
Ba Hg Bi
1 2 2
Direct
0.000 0.000 0.000
0.250 0.750 0.500
0.750 0.250 0.500
0.382 0.382 0.000
0.618 0.618 0.000
```

---

[8]
The following is a PBE calculation of crystalline Tb4CeHg2 at its relaxed geometry, from Alexandria.

Energy of formation (meV per atom): 65
Density (Mg/m³): 8.76

The structure in POSCAR format:
```
Tb4CeHg2
1.0
2.527 1.459 10.086
-2.527 1.459 10.086
0.000 -2.918 10.086
Tb Ce Hg
4 1 2
Direct
0.114 0.114 0.114
0.294 0.294 0.294
0.706 0.706 0.706
0.886 0.886 0.886
0.500 0.500 0.500
0.398 0.398 0.398
0.602 0.602 0.602
```

---

[9]
The following is a PBE calculation of crystalline LiEr4In5 at its relaxed geometry, from Alexandria.

Energy of formation (meV per atom): -426
Density (Mg/m³): 8.44

The structure in POSCAR format:
```
LiEr4In5
1.0
3.505 0.000 0.000
0.000 3.505 0.000
0.000 0.000 20.020
Li Er In
1 4 5
Direct
0.000 0.000 0.000
0.000 0.000 0.183
0.000 0.000 0.394
0.000 0.000 0.606
0.000 0.000 0.817
0.500 0.500 0.079
0.500 0.500 0.288
0.500 0.500 0.500
0.500 0.500 0.712
0.500 0.500 0.921
```

---

[10]
The following is a PBE calculation of crystalline Ca2CoNiAg at its relaxed geometry, from Alexandria.

Energy of formation (meV per atom): 822
Density (Mg/m³): 3.57

The structure in POSCAR format:
```
Ca2CoNiAg
1.0
5.538 0.000 0.000
0.000 5.538 0.000
0.000 0.000 4.637
Ca Co Ni Ag
2 1 1 1
Direct
0.000 0.500 0.000
0.500 0.000 0.000
0.000 0.000 0.500
0.500 0.500 0.500
0.000 0.000 0.000
```

---

[11]
The following is a PBE calculation of crystalline CsHgPbS2 at its relaxed geometry, from Alexandria.

E_form (uncorrected) (kJ/mol of atoms): 91.05
Density (Mg/m³): 4.91

The structure in POSCAR format:
```
CsHgPbS2
1.0
5.464 0.000 0.000
0.000 5.464 0.000
0.000 0.000 6.856
Cs Hg Pb S
1 1 1 2
Direct
0.000 0.000 0.000
0.500 0.500 0.500
0.000 0.000 0.500
0.000 0.500 0.000
0.500 0.000 0.000
```

---

[12]
The following is a PBE calculation of crystalline AcAl2HgAu5 at its relaxed geometry, from Alexandria.

Energy of formation (meV per atom): -362
Density (Mg/m³): 12.14

The structure in POSCAR format:
```
AcAl2HgAu5
1.0
5.075 0.000 0.000
0.000 5.075 0.000
0.000 0.000 7.785
Ac Al Hg Au
1 2 1 5
Direct
0.000 0.000 0.000
0.500 0.500 0.333
0.500 0.500 0.667
0.000 0.000 0.500
0.000 0.500 0.261
0.000 0.500 0.739
0.500 0.000 0.261
0.500 0.000 0.739
0.500 0.500 0.000
```